Record 1
11
Lattice="-0.343 -1.759 -8.404 1.979 -6.645 1.310 -6.850 1.692 -0.074" Properties=species:S:1:pos:R:3 comment="Tb3Sm7In GGA-PBE relaxed" e_tot_ev_per_cell=-48.50 spacegroup="P3m1, No. 156" e_form_ev_per_atom=0.11 pbc="T T T"
Tb 0.718 -4.697 -5.908
Tb -1.713 -7.170 -5.292
Tb -2.701 -3.853 -5.946
Sm -0.643 -2.751 -3.337
Sm -3.041 -5.190 -2.728
Sm -5.402 0.073 -0.854
Sm -1.002 -4.061 -0.081
Sm 0.331 -6.023 -2.692
Sm -2.018 -0.762 -0.817
Sm -4.425 -3.209 -0.207
In -4.063 -1.888 -3.437

=====

Record 2
11
Lattice="-1.404 -3.227 0.066 6.012 -2.479 6.613 -9.534 6.159 4.473" Properties=species:S:1:pos:R:3 comment="Tb2Sm5In4 GGA-PBE relaxed" e_tot_ev_per_cell=-41.45 spacegroup="Immm, No. 71" e_form_ev_per_atom=0.21 e_above_lowest_polymorph_ev_per_fu=5.43 pbc="T T T"
Sm -4.522 0.182 6.546
Sm -0.702 -1.614 0.033
Sm -6.709 1.084 4.140
Sm -0.404 0.270 4.607
Sm 1.783 -0.631 7.012
In 1.968 -0.811 2.164
In 4.044 -1.668 4.448
In -3.582 1.638 3.870
In -1.344 -1.185 7.282
Tb -1.679 0.768 1.814
Tb -3.247 -0.315 9.338